## LaZrTa2Ag (PBE-GGA)

Data for a relaxed LaZrTa2Ag crystal.

As for the total magnetization: 1.6 μB/cell. For the density of states at the Fermi level, the calculation gives 1.28 states/eV/atom. Its final energy is -6.4705 eV/atom.

Structure (CIF):
```
data_LaZrTa2Ag
_space_group_name_H-M_alt 'P 4/m m m'
_space_group_IT_number 123
_space_group_name_Hall '-P 4 2'
_cell_length_a 5.027
_cell_length_b 5.027
_cell_length_c 5.599
_cell_angle_alpha 90.00
_cell_angle_beta 90.00
_cell_angle_gamma 90.00
loop_
_atom_site_label
_atom_site_type_symbol
_atom_site_fract_x
_atom_site_fract_y
_atom_site_fract_z
La1 La 0.000 0.000 0.000
Zr1 Zr 0.000 0.000 0.500
Ta1 Ta 0.000 0.500 0.500
Ag1 Ag 0.500 0.500 0.000
```